{"formula": "K2RbBiF8", "functional": "GGA-PBE", "state": "optimized geometry", "cell": [[0.341, 1.327, -4.560], [-5.901, -0.872, 0.115], [-1.175, 8.253, 2.314]], "species": ["K", "K", "F", "F", "F", "F", "F", "F", "F", "F", "Rb", "Bi"], "frac_coords": [[0.500, 0.500, 0.744], [0.500, 0.500, 0.256], [0.091, 0.783, 0.179], [0.091, 0.783, 0.821], [0.909, 0.217, 0.179], [0.530, 0.260, 0.500], [0.909, 0.217, 0.821], [0.394, 0.203, 0.000], [0.606, 0.797, 0.000], [0.470, 0.740, 0.500], [0.000, 0.000, 0.500], [0.000, 0.000, 0.000]], "volume_a3_per_cell": 243.6, "magmom_total_mub_per_fu": 0.41, "total_energy_ev_per_cell": -50.073, "raw_formation_energy_ev_per_fu": -28.1, "space_group": "P2/m, No. 10"}